! BaSmEuWO6 (PBE+U, optimized geometry); values from VASP
! Size of the total moment in μB/f.u.: 8.0
! Energy above the most stable polymorph in this dataset in eV per atom: 0.000
! Mass density in g/cm3: 7.76
! Volume in Å³/cell: 307.98
! SG: P-1 (2)
&SYSTEM
  ibrav = 0, nat = 20, ntyp = 5
/
ATOMIC_SPECIES
Ba 137.33 Ba.upf
Sm 150.36 Sm.upf
Eu 151.96 Eu.upf
W 183.84 W.upf
O 16.00 O.upf
CELL_PARAMETERS angstrom
5.982 0.000 0.000
0.025 6.027 0.000
0.032 0.055 8.542
ATOMIC_POSITIONS crystal
Ba 0.003 0.025 0.251
Ba 0.997 0.975 0.749
Sm 0.000 0.500 0.000
Sm 0.500 0.000 0.500
Eu 0.495 0.538 0.246
Eu 0.505 0.462 0.754
W 0.000 0.500 0.500
W 0.500 0.000 0.000
O 0.088 0.496 0.734
O 0.205 0.765 0.468
O 0.236 0.804 0.027
O 0.263 0.308 0.453
O 0.313 0.280 0.049
O 0.443 0.045 0.766
O 0.557 0.955 0.234
O 0.687 0.720 0.951
O 0.737 0.692 0.547
O 0.764 0.196 0.973
O 0.795 0.235 0.532
O 0.912 0.504 0.266